Compound: PbBrO2F
Source: the Alexandria database
Functional: PBE-GGA
Structure: relaxed

a b c (Å): 4.4090 4.4090 4.4577
angles (deg): 90.00 90.00 90.00
With the nearest neighbours (Å) after each atom.
Space group P4/mmm (No. 123)
Asymmetric unit:
Pb 0.0000 0.0000 0.0000 [1 per cell]  4 O 2.20, 2 F 2.23
Br 0.5000 0.5000 0.5000 [1 per cell]  4 F 3.12, 8 O 3.13
O 0.0000 0.5000 0.0000 [2 per cell]  2 Pb 2.20
F 0.0000 0.0000 0.5000 [1 per cell]  2 Pb 2.23

Computed properties:
The value obtained for the density is 6.5 Mg/m³. The value obtained for the uncorrected formation energy is -0.3239 eV/atom. The calculation puts the total moment at 2.33 μB per formula unit. For the calculated volume, the calculation gives 87 Å³/cell.

---

Compound: LaSmCu2Se4
Source: the Alexandria database
Functional: PBE-GGA
Structure: relaxed

a b c (Å): 6.8997 7.0910 7.9515
angles (deg): 90.00 90.00 90.00
With the nearest neighbours (Å) after each atom.
Space group I222 (No. 23)
Asymmetric unit:
La 0.0000 0.0000 0.0000 [2 per cell]  8 Se 3.07-3.32
Sm 0.0000 0.0000 0.5000 [2 per cell]  4 Se 2.87
Cu 0.0000 0.5000 0.1601 [4 per cell]  2 Se 2.35, 1 Cu 2.55
Se 0.2463 0.2767 0.7937 [8 per cell]  1 Cu 2.35

Computed properties:
The value obtained for the density is 6.3 Mg/m³. The value obtained for the uncorrected formation energy is -1.1329 eV/atom. The calculation puts the total moment at 0.00 μB per formula unit. For the calculated volume, the calculation gives 389 Å³/cell.

---

Compound: ZnCdHg
Source: the Alexandria database
Functional: PBE-GGA
Structure: relaxed

a b c (Å): 6.5964 6.5964 6.5964
angles (deg): 90.00 90.00 90.00
With the nearest neighbours (Å) after each atom.
Space group F-43m (No. 216)
Asymmetric unit:
Zn 0.0000 0.0000 0.0000 [4 per cell]  4 Hg 2.86
Cd 0.0000 0.0000 0.5000 [4 per cell]  4 Hg 2.86
Hg 0.2500 0.2500 0.7500 [4 per cell]  4 Zn 2.86, 4 Cd 2.86

Computed properties:
The value obtained for the density is 8.8 Mg/m³. The value obtained for the energy above the most stable polymorph in this dataset is 68 meV per atom. The calculation puts the total moment at 0.00 μB per formula unit. For the calculated volume, the calculation gives 287 Å³/cell.

---

Compound: Sr3Ca5Hg2
Source: the Alexandria database
Functional: PBE-GGA
Structure: relaxed

a b c (Å): 12.7035 12.7035 4.9628
angles (deg): 90.00 90.00 90.00
With the nearest neighbours (Å) after each atom.
Space group P4/mbm (No. 127)
Asymmetric unit:
Sr 0.0000 0.0000 0.0000 [2 per cell]  8 Ca 3.85
Sr 0.1731 0.3269 0.0000 [4 per cell]  3 Hg 3.72-3.78, 6 Ca 3.98-4.13
Ca 0.0000 0.5000 0.5000 [2 per cell]  4 Hg 3.29, 4 Ca 3.67
Ca 0.0716 0.7800 0.5000 [8 per cell]  2 Hg 3.27
Hg 0.1199 0.6199 0.0000 [4 per cell]  6 Ca 3.27-3.29

Computed properties:
The value obtained for the density is 3.6 Mg/m³. As for the electronic total energy: -1.78 eV per atom. The calculation puts the total moment at 0.00 μB per formula unit. For the calculated volume, the calculation gives 801 Å³/cell.